A relaxed structure of DyErCdSn. Source: Alexandria, functional GGA-PBE.

Output
The value obtained for the total moment is 0.000 μB/cell. The value obtained for the density of states at the Fermi level is 0.77 states/eV per atom. The energy of formation from the pure elements is -478 meV per atom.

a b c (Å): 7.444 7.444 7.444
angles (deg): 90.00 90.00 90.00
Space group F-43m (No. 216)
Symmetry-distinct sites (fractional):
Dy: 0.000 0.000 0.000 (multiplicity 4)
Er: 0.000 0.000 0.500 (multiplicity 4)
Cd: 0.250 0.250 0.750 (multiplicity 4)
Sn: 0.250 0.250 0.250 (multiplicity 4)